# Te2WNO (GGA+U, relaxed)
# calculated total energy	-4.481	eV/atom
# energy relative to the lowest polymorph listed for this composition	0	meV per atom
data_Te2WNO
_cell_length_a 5.480
_cell_length_b 5.480
_cell_length_c 3.823
_cell_angle_alpha 90.00
_cell_angle_beta 90.00
_cell_angle_gamma 90.00
_space_group_name_H-M_alt 'P 1'
_space_group_IT_number 1
_space_group_name_Hall 'P 1'
loop_
_atom_site_label
_atom_site_type_symbol
_atom_site_fract_x
_atom_site_fract_y
_atom_site_fract_z
_atom_site_occupancy
O1 O 0.500 0.500 0.500 1
Te1 Te 0.500 0.000 0.000 1
Te2 Te 0.000 0.500 0.000 1
N1 N 0.000 0.000 0.500 1
W1 W 0.000 0.000 0.000 1